Record 1
A plane-wave DFT calculation with PBE-GGA was carried out for Y3Mg3TlGaCu after structural relaxation.

- total DFT energy (no corrections) (eV/atom) = -4.064

a b c (Å): 7.462 7.462 4.347
angles (deg): 90.00 90.00 120.00
Fractional coordinates of all 9 atoms:
Ga1 0.333 0.667 0.500
Y1 0.403 0.418 0.000
Y2 0.582 0.985 0.000
Y3 0.015 0.597 0.000
Mg1 0.235 0.996 0.500
Mg2 0.760 0.765 0.500
Mg3 0.004 0.240 0.500
Cu1 0.000 0.000 0.000
Tl1 0.667 0.333 0.500



Record 2
A plane-wave DFT calculation with PBE-GGA was carried out for MgGaCuW after structural relaxation.

- offset from the most stable computed form (meV per atom) = 0

a b c (Å): 4.421 4.421 4.421
angles (deg): 60.00 60.00 60.00
Fractional coordinates of all 4 atoms:
Ga1 0.000 0.000 0.000
W1 0.250 0.250 0.250
Cu1 0.750 0.750 0.750
Mg1 0.500 0.500 0.500